Record 1
## In2AgPb (meta-GGA SCAN)

Data for a PBEsol-optimized structure of In2AgPb.

Summary:
Formation energy from the elements = 0.068 eV/atom

Geometry as CIF:
```
data_In2AgPb
_chemical_formula_sum 'In2 Ag1 Pb1'
_cell_length_a 3.272
_cell_length_b 3.272
_cell_length_c 8.789
_cell_angle_alpha 90.00
_cell_angle_beta 90.00
_cell_angle_gamma 90.00
_symmetry_space_group_name_H-M 'P 4/m m m'
_symmetry_Int_Tables_number 123
_symmetry_space_group_name_Hall '-P 4 2'
loop_
_atom_site_label
_atom_site_fract_x
_atom_site_fract_y
_atom_site_fract_z
In1 0.000 0.000 0.211
Ag1 0.500 0.500 0.000
Pb1 0.500 0.500 0.500
```


Record 2
## In2AgPb (meta-GGA SCAN)

Data for a PBEsol-optimized structure of In2AgPb.

Summary:
Formation energy from the elements = 0.124 eV/atom

Geometry as CIF:
```
data_In2AgPb
_chemical_formula_sum 'In2 Ag1 Pb1'
_cell_length_a 4.453
_cell_length_b 4.453
_cell_length_c 4.780
_cell_angle_alpha 90.00
_cell_angle_beta 90.00
_cell_angle_gamma 90.00
_symmetry_space_group_name_H-M 'P 4/m m m'
_symmetry_Int_Tables_number 123
_symmetry_space_group_name_Hall '-P 4 2'
loop_
_atom_site_label
_atom_site_fract_x
_atom_site_fract_y
_atom_site_fract_z
In1 0.000 0.500 0.000
Ag1 0.000 0.000 0.500
Pb1 0.500 0.500 0.500
```


Record 3
## InReAgPb2 (meta-GGA SCAN)

Data for a PBEsol-optimized structure of InReAgPb2.

Summary:
Formation energy from the elements = 1.707 eV/atom

Geometry as CIF:
```
data_InReAgPb2
_chemical_formula_sum 'In1 Re1 Ag1 Pb2'
_cell_length_a 5.528
_cell_length_b 5.528
_cell_length_c 4.961
_cell_angle_alpha 90.00
_cell_angle_beta 90.00
_cell_angle_gamma 90.00
_symmetry_space_group_name_H-M 'P 4/m m m'
_symmetry_Int_Tables_number 123
_symmetry_space_group_name_Hall '-P 4 2'
loop_
_atom_site_label
_atom_site_fract_x
_atom_site_fract_y
_atom_site_fract_z
In1 0.000 0.000 0.000
Re1 0.500 0.500 0.500
Ag1 0.000 0.000 0.500
Pb1 0.000 0.500 0.000
```


Record 4
## InTc2AgPd (meta-GGA SCAN)

Data for a PBEsol-optimized structure of InTc2AgPd.

Summary:
Formation energy from the elements = 1.859 eV/atom

Geometry as CIF:
```
data_InTc2AgPd
_chemical_formula_sum 'In1 Tc2 Ag1 Pd1'
_cell_length_a 4.819
_cell_length_b 4.819
_cell_length_c 4.836
_cell_angle_alpha 90.00
_cell_angle_beta 90.00
_cell_angle_gamma 90.00
_symmetry_space_group_name_H-M 'P 4/m m m'
_symmetry_Int_Tables_number 123
_symmetry_space_group_name_Hall '-P 4 2'
loop_
_atom_site_label
_atom_site_fract_x
_atom_site_fract_y
_atom_site_fract_z
In1 0.000 0.000 0.000
Tc1 0.000 0.500 0.500
Ag1 0.000 0.000 0.500
Pd1 0.500 0.500 0.000
```


Record 5
## Pm2InAg (meta-GGA SCAN)

Data for a PBEsol-optimized structure of Pm2InAg.

Summary:
Formation energy from the elements = -0.498 eV/atom

Geometry as CIF:
```
data_Pm2InAg
_chemical_formula_sum 'Pm8 In4 Ag4'
_cell_length_a 7.472
_cell_length_b 7.472
_cell_length_c 7.472
_cell_angle_alpha 90.00
_cell_angle_beta 90.00
_cell_angle_gamma 90.00
_symmetry_space_group_name_H-M 'F m -3 m'
_symmetry_Int_Tables_number 225
_symmetry_space_group_name_Hall '-F 4 2 3'
loop_
_atom_site_label
_atom_site_fract_x
_atom_site_fract_y
_atom_site_fract_z
Pm1 0.250 0.250 0.250
In1 0.000 0.000 0.000
Ag1 0.000 0.000 0.500
```


Record 6
## PrInAg2 (meta-GGA SCAN)

Data for a PBEsol-optimized structure of PrInAg2.

Summary:
Formation energy from the elements = -0.415 eV/atom

Geometry as CIF:
```
data_PrInAg2
_chemical_formula_sum 'Pr4 In4 Ag8'
_cell_length_a 7.030
_cell_length_b 7.030
_cell_length_c 7.030
_cell_angle_alpha 90.00
_cell_angle_beta 90.00
_cell_angle_gamma 90.00
_symmetry_space_group_name_H-M 'F m -3 m'
_symmetry_Int_Tables_number 225
_symmetry_space_group_name_Hall '-F 4 2 3'
loop_
_atom_site_label
_atom_site_fract_x
_atom_site_fract_y
_atom_site_fract_z
Pr1 0.000 0.000 0.000
In1 0.000 0.000 0.500
Ag1 0.250 0.250 0.250
```